(1)
! CsIn2Pd, optimized geometry, DFT PBE; values from VASP
&SYSTEM
  ibrav = 0, nat = 8, ntyp = 3
/
ATOMIC_SPECIES
Cs 132.91 Cs.upf
Pd 106.42 Pd.upf
In 114.82 In.upf
CELL_PARAMETERS angstrom
-6.626 0.840 -0.323
-0.683 -6.256 -2.259
-4.342 -5.295 6.080
ATOMIC_POSITIONS crystal
Cs 0.000 0.000 0.000
Cs 0.750 0.250 0.500
Pd 0.500 0.500 0.000
Pd 0.250 0.750 0.500
In 0.375 0.125 0.250
In 0.375 0.625 0.250
In 0.375 0.625 0.750
In 0.875 0.625 0.750
! D(E_F): 0.7262 states/eV/atom



(2)
! MnV3W, optimized geometry, DFT PBE; values from VASP
&SYSTEM
  ibrav = 0, nat = 20, ntyp = 3
/
ATOMIC_SPECIES
Mn 54.94 Mn.upf
V 50.94 V.upf
W 183.84 W.upf
CELL_PARAMETERS angstrom
-4.098 2.263 -4.541
1.883 -5.635 -3.613
-4.932 -1.176 4.759
ATOMIC_POSITIONS crystal
Mn 0.250 0.087 0.913
Mn 0.750 0.913 0.087
Mn 0.250 0.768 0.232
Mn 0.750 0.232 0.768
V 0.541 0.365 0.063
V 0.959 0.937 0.635
V 0.459 0.635 0.937
V 0.041 0.063 0.365
V 0.069 0.806 0.940
V 0.431 0.060 0.194
V 0.931 0.194 0.060
V 0.569 0.940 0.806
V 0.311 0.422 0.340
V 0.189 0.660 0.578
V 0.689 0.578 0.660
V 0.811 0.340 0.422
W 0.888 0.599 0.169
W 0.612 0.831 0.401
W 0.112 0.401 0.831
W 0.388 0.169 0.599
! E above lowest polymorph: 0.208 eV/atom
! D(E_F): 1.0545 states/eV/atom



(3)
! PuHf3N4, optimized geometry, DFT PBE; values from VASP
&SYSTEM
  ibrav = 0, nat = 16, ntyp = 3
/
ATOMIC_SPECIES
N 14.01 N.upf
Hf 178.49 Hf.upf
Pu 244.00 Pu.upf
CELL_PARAMETERS angstrom
-0.060 -2.056 -2.514
1.209 -0.963 2.857
-19.784 -6.837 6.065
ATOMIC_POSITIONS crystal
N 0.667 0.333 0.941
N 0.333 0.667 0.059
N 0.333 0.667 0.441
N 0.667 0.333 0.559
N 0.000 0.000 0.825
N 0.000 0.000 0.175
N 0.000 0.000 0.325
N 0.000 0.000 0.675
Hf 0.000 0.000 0.000
Hf 0.000 0.000 0.500
Hf 0.333 0.667 0.879
Hf 0.667 0.333 0.121
Hf 0.667 0.333 0.379
Hf 0.333 0.667 0.621
Pu 0.667 0.333 0.750
Pu 0.333 0.667 0.250
! D(E_F): 1.1470 states/eV/atom



Total energy values, unit eV/f.u., following the record order: -11.959 -47.898 -90.764.